Record 1
The following is a DFT calculation (PBE-GGA) of DyTl2AsSe4 after structural relaxation.

Results
formation energy without anion corrections = -6.0 eV/f.u.
magnetic moment = 0.00 μB/atom

Cell: 8.5760 8.5760 8.5301 Å, 119.82 119.82 90.15°
With the nearest neighbours (Å) after each atom.
Atoms (fractional coordinates):
Tl  0.5000  0.5000  0.0000  6 Se 3.25-3.29
Tl  0.5000  0.0000  0.0000  6 Se 3.19-3.20
Se  0.2043  0.7443  0.9743  1 As 2.80, 2 Dy 2.89
Se  0.7957  0.2557  0.0257  1 As 2.80, 2 Dy 2.89
Tl  0.5000  0.0000  0.5000  6 Se 3.19-3.20
Se  0.7617  0.7381  0.9640  2 As 2.82, 1 Dy 2.91
Dy  0.0000  0.5000  0.5000  6 Se 2.89-2.91
Se  0.2443  0.7043  0.4743  1 As 2.80, 2 Dy 2.89
As  0.5000  0.5000  0.5000  6 Se 2.80-2.82
Dy  0.0000  0.5000  0.0000  6 Se 2.89-2.91
Se  0.2381  0.2618  0.4640  2 As 2.82, 1 Dy 2.91
As  0.0000  0.0000  0.0000  6 Se 2.80-2.82
Se  0.7557  0.2957  0.5257  1 As 2.80, 2 Dy 2.89
Se  0.2382  0.2619  0.0360  2 As 2.82, 1 Dy 2.91
Tl  0.0000  0.0000  0.5000  6 Se 3.25-3.29
Se  0.7619  0.7383  0.5360  2 As 2.82, 1 Dy 2.91

---

Record 2
The following is a DFT calculation (PBE-GGA) of RbLiPr2Br8 after structural relaxation.

Results
formation energy without anion corrections = -21.1 eV/f.u.
magnetic moment = 0.00 μB/atom

Cell: 7.3068 7.1636 9.0944 Å, 90.00 90.00 82.52°
With the nearest neighbours (Å) after each atom.
Atoms (fractional coordinates):
Br  0.3449  0.2894  0.0000  2 Pr 2.97
Br  0.6407  0.7007  0.5000  2 Pr 3.01
Br  0.1734  0.7681  0.2087  1 Li 2.72, 1 Pr 2.88
Br  0.3593  0.2993  0.5000  2 Pr 3.01
Br  0.8266  0.2319  0.2087  1 Li 2.72, 1 Pr 2.88
Br  0.8266  0.2319  0.7913  1 Li 2.72, 1 Pr 2.88
Pr  0.5000  0.5000  0.7590  6 Br 2.88-3.01
Pr  0.5000  0.5000  0.2410  6 Br 2.88-3.01
Rb  0.0000  0.0000  0.5000  6 Br 3.29-3.60
Br  0.1734  0.7681  0.7913  1 Li 2.72, 1 Pr 2.88
Br  0.6551  0.7106  0.0000  2 Pr 2.97
Li  0.0000  0.0000  0.0000  4 Br 2.72

---

Record 3
The following is a DFT calculation (PBE-GGA) of RbTeH2O4 after structural relaxation.

Results
calculated total energy = -4.7615 eV per atom
magnetic moment = 0.00 μB/atom

Cell: 4.6379 5.7213 5.7213 Å, 76.04 66.09 66.09°
With the nearest neighbours (Å) after each atom.
Atoms (fractional coordinates):
O  0.3782  0.2352  0.4395  1 H 1.23
O  0.9470  0.4395  0.2352  1 H 1.23
H  0.8456  0.6544  0.6544  2 O 1.23
Te  0.5000  0.5000  0.5000  4 O 1.96
O  0.0530  0.7648  0.5605  1 H 1.23
Rb  0.0000  0.0000  0.0000  8 O 3.01-3.23
O  0.6218  0.5605  0.7648  1 H 1.23
H  0.1544  0.3456  0.3456  2 O 1.23

---

Record 4
The following is a DFT calculation (PBE-GGA) of K2LiMo after structural relaxation.

Results
calculated total energy = -2.5215 eV per atom
magnetic moment = 1.18 μB/atom

Cell: 5.2794 5.2794 5.4969 Å, 90.00 90.00 90.00°
With the nearest neighbours (Å) after each atom.
Atoms (fractional coordinates):
K  0.0000  0.0000  0.0000  4 K 3.73, 4 Li 3.81, 4 Mo 3.81
Li  0.5000  0.0000  0.5000  4 Mo 3.73, 8 K 3.81
K  0.5000  0.5000  0.0000  4 K 3.73, 4 Li 3.81, 4 Mo 3.81
Mo  0.0000  0.5000  0.5000  4 Li 3.73, 8 K 3.81

---

Record 5
The following is a DFT calculation (PBE-GGA) of SnAsC3 after structural relaxation.

Results
calculated total energy = -4.8462 eV per atom
magnetic moment = 0.00 μB/atom

Cell: 4.0142 4.0142 4.0142 Å, 90.00 90.00 90.00°
With the nearest neighbours (Å) after each atom.
Atoms (fractional coordinates):
Sn  0.5000  0.5000  0.5000  12 C 2.84
C  0.0000  0.0000  0.5000  2 As 2.01
C  0.5000  0.0000  0.0000  2 As 2.01
As  0.0000  0.0000  0.0000  6 C 2.01
C  0.0000  0.5000  0.0000  2 As 2.01

---

Record 6
The following is a DFT calculation (PBE-GGA) of NaZrSi2 after structural relaxation.

Results
formation energy without anion corrections = 1.3 eV/f.u.
magnetic moment = 0.00 μB/atom

Cell: 7.3636 7.3636 5.9824 Å, 52.02 52.02 90.00°
With the nearest neighbours (Å) after each atom.
Atoms (fractional coordinates):
Na  0.5000  0.5000  0.0000  4 Si 2.71, 2 Zr 2.95
Na  0.2500  0.7500  0.5000  4 Si 2.71, 2 Zr 2.95
Si  0.1237  0.6250  0.2500  2 Zr 2.70, 2 Na 2.71, 2 Si 2.95
Si  0.6263  0.1250  0.2500  2 Zr 2.70, 2 Na 2.71, 2 Si 2.95
Zr  0.0000  0.0000  0.0000  4 Si 2.70, 2 Na 2.95
Zr  0.7500  0.2500  0.5000  4 Si 2.70, 2 Na 2.95
Si  0.3750  0.3737  0.7500  2 Zr 2.70, 2 Na 2.71, 2 Si 2.95
Si  0.8750  0.8763  0.7500  2 Zr 2.70, 2 Na 2.71, 2 Si 2.95

---

Record 7
The following is a DFT calculation (PBE-GGA) of BSbPd4 after structural relaxation.

Results
formation energy without anion corrections = -1.4 eV/f.u.
magnetic moment = 0.00 μB/atom

Cell: 5.6628 6.5578 6.9241 Å, 118.09 106.66 102.88°
With the nearest neighbours (Å) after each atom.
Atoms (fractional coordinates):
Sb  0.8993  0.6429  0.7416  8 Pd 2.67-2.83
Pd  0.5827  0.8111  0.5333  1 B 2.16
Pd  0.6823  0.8964  0.0132  1 B 2.13
Sb  0.1007  0.3571  0.2584  8 Pd 2.67-2.83
Pd  0.4173  0.1889  0.4667  1 B 2.16
Pd  0.3177  0.1036  0.9868  1 B 2.13
B  0.7015  0.7809  0.2551  6 Pd 2.13-2.22
Pd  0.7262  0.4412  0.9794  2 B 2.14-2.22
Pd  0.2738  0.5588  0.0206  2 B 2.14-2.22
Pd  0.9302  0.1960  0.5206  2 B 2.14-2.19
Pd  0.0698  0.8040  0.4794  2 B 2.14-2.19
B  0.2985  0.2191  0.7449  6 Pd 2.13-2.22

---

Record 8
The following is a DFT calculation (PBE-GGA) of LaTc2Se after structural relaxation.

Results
formation energy without anion corrections = 1.0 eV/f.u.
magnetic moment = 0.01 μB/atom

Cell: 9.2900 9.2900 9.2900 Å, 19.31 19.31 19.31°
With the nearest neighbours (Å) after each atom.
Atoms (fractional coordinates):
Se  0.7344  0.7344  0.7344  3 Tc 2.57
Tc  0.0006  0.0006  0.0006  3 Se 2.57, 3 Tc 2.66
Tc  0.2625  0.2625  0.2625  3 Tc 2.66
La  0.5025  0.5025  0.5025  6 La 3.12, 3 Tc 3.12, 3 Se 3.31